Pr7RuBr12 | PBE-GGA | relaxed

Geometry as extended XYZ:
```
20
Lattice="9.232 -0.144 -2.773 -3.689 8.464 -2.773 -0.096 -0.144 9.639" Properties=species:S:1:pos:R:3 pbc="T T T"
Pr 6.375 5.531 3.989
Pr 2.501 0.873 -0.921
Pr 0.879 0.162 2.658
Pr 2.723 4.088 2.047
Pr 4.568 8.014 1.435
Pr 2.946 7.302 5.015
Pr -0.929 2.644 0.105
Ru 0.000 0.000 0.000
Br 7.300 2.421 4.101
Br 5.512 1.734 -1.779
Br 3.684 1.285 1.950
Br 5.377 5.006 1.097
Br 1.668 0.506 5.789
Br 3.638 4.280 4.860
Br 1.808 3.895 -0.766
Br 3.778 7.670 -1.695
Br 0.070 3.169 2.997
Br 1.762 6.890 2.143
Br -0.065 6.441 5.872
Br -1.854 5.754 -0.007
```

Results
Its size of the total moment is 1.0 Bohr magnetons per cell. For the formation energy without anion corrections, the calculation gives -1.59 eV/atom. The total DFT energy (no corrections) is -4.73 eV/atom.

=====

CeSmTm | PBE-GGA | relaxed

Geometry as extended XYZ:
```
6
Lattice="5.343 0.001 -0.004 0.000 3.458 -0.007 0.008 -1.709 10.053" Properties=species:S:1:pos:R:3 pbc="T T T"
Ce 4.532 1.017 9.997
Ce 1.860 -0.711 8.323
Sm 1.857 -0.717 5.013
Sm 4.527 2.733 3.254
Tm 1.854 0.999 1.697
Tm 4.529 1.017 6.571
```

Results
The relative energy among the computed polymorphs is 26.0 meV/atom. Its size of the total moment is 1.7 Bohr magnetons per cell. The formation energy from the elements comes out at 9.25 kJ/mol of atoms. The total DFT energy (no corrections) is -4.95 eV/atom.

=====

NaRuO2 | PBE-GGA | relaxed

Geometry as extended XYZ:
```
8
Lattice="4.701 0.000 0.000 0.000 4.701 0.000 2.351 2.351 5.273" Properties=species:S:1:pos:R:3 pbc="T T T"
Ru 0.000 0.000 0.000
Ru 4.701 2.351 2.636
O 3.866 1.175 1.318
O 0.836 3.526 1.318
O 3.526 3.186 3.955
O 5.877 6.216 3.955
Na 2.351 2.351 0.000
Na 2.351 4.701 2.636
```

Results
Its size of the total moment is 0.0 Bohr magnetons per cell. For the formation energy without anion corrections, the calculation gives -0.86 eV/atom. The total DFT energy (no corrections) is -5.99 eV/atom.

=====

PHOsN | PBE-GGA | relaxed

Geometry as extended XYZ:
```
4
Lattice="2.886 0.003 -0.002 1.438 4.032 -0.001 0.000 1.897 3.851" Properties=species:S:1:pos:R:3 pbc="T T T"
P 2.188 2.064 0.132
H 2.188 1.775 3.144
Os 3.630 3.802 0.908
N 2.188 3.926 2.304
```

Results
The relative energy among the computed polymorphs is 127.2 meV/atom. Its size of the total moment is 0.0 Bohr magnetons per cell. The total DFT energy (no corrections) is -6.89 eV/atom.

=====

LiBe2O | PBE-GGA | relaxed

Geometry as extended XYZ:
```
8
Lattice="5.967 0.000 0.000 0.000 5.967 0.000 2.983 2.983 2.011" Properties=species:S:1:pos:R:3 pbc="T T T"
Be 5.178 1.492 0.503
Be 0.789 4.475 0.503
Be 4.475 3.772 1.509
Be 7.458 8.161 1.509
O 0.000 0.000 0.000
O 5.967 2.983 1.006
Li 2.983 2.983 0.000
Li 2.983 5.967 1.006
```

Results
Its size of the total moment is 0.0 Bohr magnetons per cell. For the formation energy without anion corrections, the calculation gives -0.68 eV/atom. The total DFT energy (no corrections) is -4.26 eV/atom.

=====

MgVAs2 | PBE-GGA | relaxed

Geometry as extended XYZ:
```
4
Lattice="-0.332 -1.644 2.708 2.380 -0.081 2.116 -2.616 6.661 5.597" Properties=species:S:1:pos:R:3 pbc="T T T"
As -1.600 4.432 4.368
As 1.032 0.503 6.053
Mg 0.000 0.000 0.000
V -0.284 2.468 5.211
```

Results
Its size of the total moment is 0.0 Bohr magnetons per cell. The formation energy from the elements comes out at -17.97 kJ/mol of atoms. The total DFT energy (no corrections) is -5.19 eV/atom.

=====

Be4NbMo | PBE-GGA | relaxed

Geometry as extended XYZ:
```
12
Lattice="-3.392 2.553 1.611 -0.425 -2.066 -4.020 -2.883 -5.955 3.366" Properties=species:S:1:pos:R:3 pbc="T T T"
Be -1.442 -2.978 1.683
Be 0.000 0.000 0.000
Be -3.624 0.242 1.513
Be -3.832 -0.769 -0.453
Be -1.966 -1.006 0.725
Be -3.076 -5.711 -0.557
Be -2.868 -4.700 1.409
Be -4.735 -4.463 0.231
Nb -5.085 -4.526 2.864
Nb -1.616 -0.943 -1.908
Mo -2.681 -3.144 -0.664
Mo -4.019 -2.325 1.620
```

Results
The relative energy among the computed polymorphs is 6.3 meV/atom. Its size of the total moment is 0.0 Bohr magnetons per cell. The formation energy from the elements comes out at -26.14 kJ/mol of atoms. The total DFT energy (no corrections) is -6.24 eV/atom.

=====

AcSmEuHo | PBE-GGA | relaxed

Geometry as extended XYZ:
```
4
Lattice="5.958 0.000 0.000 2.979 5.160 0.000 2.979 1.720 4.865" Properties=species:S:1:pos:R:3 pbc="T T T"
Eu 5.958 3.440 2.432
Ac 8.938 5.160 3.649
Ho 0.000 0.000 0.000
Sm 2.979 1.720 1.216
```

Results
Its size of the total moment is 7.8 Bohr magnetons per cell. The formation energy from the elements comes out at 12.83 kJ/mol of atoms. The total DFT energy (no corrections) is -5.79 eV/atom.

=====

AgAsS2O8 | PBE-GGA | relaxed

Geometry as extended XYZ:
```
12
Lattice="-4.540 0.851 -1.569 -2.422 -3.455 -2.448 -5.137 -3.613 5.320" Properties=species:S:1:pos:R:3 pbc="T T T"
Ag -6.049 -3.109 0.651
As 0.000 0.000 0.000
S -2.984 -1.515 0.230
S -9.114 -4.702 1.073
O -3.518 -2.035 1.491
O -4.113 -1.050 -0.654
O -8.581 -4.182 -0.189
O -6.753 -1.743 -2.056
O -5.345 -4.475 3.359
O -4.485 -3.807 -1.948
O -7.613 -2.410 3.251
O -7.986 -5.167 1.956
```

Results
Its size of the total moment is 0.0 Bohr magnetons per cell. For the formation energy without anion corrections, the calculation gives -1.03 eV/atom. The total DFT energy (no corrections) is -5.65 eV/atom.

=====

FeTc2Au | PBE-GGA | relaxed

Geometry as extended XYZ:
```
4
Lattice="-3.877 -1.679 2.361 1.181 -2.341 4.068 1.186 4.317 -1.840" Properties=species:S:1:pos:R:3 pbc="T T T"
Au 0.510 -0.017 2.721
Fe -2.020 0.314 1.868
Tc 0.000 0.000 0.000
Tc -1.348 -2.010 3.215
```

Results
The relative energy among the computed polymorphs is 88.9 meV/atom. Its size of the total moment is 2.1 Bohr magnetons per cell. The formation energy from the elements comes out at 27.32 kJ/mol of atoms. The total DFT energy (no corrections) is -7.83 eV/atom.

=====

TbYAlPt | PBE-GGA | relaxed

Geometry as extended XYZ:
```
4
Lattice="-1.134 -4.570 -1.816 -0.991 -3.801 3.170 -4.704 -1.783 0.410" Properties=species:S:1:pos:R:3 pbc="T T T"
Y -1.707 -2.538 0.441
Tb -5.121 -7.615 1.322
Al 0.000 0.000 0.000
Pt -3.414 -5.077 0.882
```

Results
The relative energy among the computed polymorphs is 99.4 meV/atom. Its size of the total moment is 0.0 Bohr magnetons per cell. The formation energy from the elements comes out at -70.56 kJ/mol of atoms. The total DFT energy (no corrections) is -5.95 eV/atom.

=====

CaCdSe2 | PBE-GGA | relaxed

Geometry as extended XYZ:
```
4
Lattice="-0.362 -3.823 -1.620 1.493 -0.800 -3.809 6.260 -3.225 0.851" Properties=species:S:1:pos:R:3 pbc="T T T"
Ca 5.543 -5.886 -3.433
Se 1.194 -4.641 -5.399
Se 3.631 -3.906 -2.319
Cd 1.848 -1.962 -1.144
```

Results
Its size of the total moment is 0.0 Bohr magnetons per cell. For the formation energy without anion corrections, the calculation gives -1.23 eV/atom. The total DFT energy (no corrections) is -3.70 eV/atom.